[1]
TaTlS2N | Alexandria via LeMat-Bulk | GGA-PBE | optimized geometry; space group = P4/mmm (123); energy relative to the elements, uncorrected = -0.304 eV per atom; crystal system = tetragonal
1.0
-2.543 -4.240 0.731
2.949 -2.336 -3.290
2.504 -0.993 2.949
N S Ta Tl
1 2 1 1
direct
0.000 0.000 0.500 N
0.000 0.500 0.000 S
0.500 0.000 0.000 S
0.000 0.000 0.000 Ta
0.500 0.500 0.500 Tl

---

[2]
VNiHRu2 | Alexandria via LeMat-Bulk | GGA-PBE | optimized geometry; space group = P4/mmm (123); calculated total energy = -7.44 eV per atom; crystal system = tetragonal
1.0
3.820 0.000 0.000
0.000 3.820 0.000
0.000 0.000 3.733
Ni Ru H V
1 2 1 1
direct
0.500 0.500 0.500 Ni
0.500 0.000 0.000 Ru
0.000 0.500 0.000 Ru
0.000 0.000 0.000 H
0.000 0.000 0.500 V

---

[3]
Fe2GePCl | Alexandria via LeMat-Bulk | GGA-PBE | optimized geometry; space group = P4/mmm (123); energy relative to the elements, uncorrected = 0.647 eV per atom; crystal system = tetragonal
1.0
4.220 0.000 0.000
0.000 5.861 0.000
0.000 0.000 4.220
Ge Cl Fe P
1 1 2 1
direct
0.500 0.500 0.500 Ge
0.000 0.500 0.000 Cl
0.500 0.000 0.000 Fe
0.000 0.000 0.500 Fe
0.000 0.000 0.000 P

---

[4]
Tb4Pm4Ho5 | Alexandria via LeMat-Bulk | GGA-PBE | optimized geometry; space group = I4/m (87); formation enthalpy at 0 K = 0.02 eV/atom; crystal system = tetragonal
1.0
-1.171 4.340 2.277
-1.819 -2.288 9.001
8.201 3.439 3.236
Pm Ho Tb
4 5 4
direct
0.383 0.695 0.539 Pm
0.617 0.305 0.461 Pm
0.922 0.461 0.695 Pm
0.078 0.539 0.305 Pm
0.539 0.771 0.151 Ho
0.461 0.229 0.849 Ho
0.310 0.151 0.229 Ho
0.000 0.000 0.000 Ho
0.690 0.849 0.771 Ho
0.847 0.924 0.382 Tb
0.771 0.382 0.076 Tb
0.229 0.618 0.924 Tb
0.153 0.076 0.618 Tb

---

[5]
K5UTe5 | Alexandria via LeMat-Bulk | GGA-PBE | optimized geometry; space group = C2/m (12); energy relative to the elements, uncorrected = -0.913 eV per atom; crystal system = monoclinic
1.0
-2.277 6.087 -0.796
-6.450 -5.794 1.075
3.199 2.338 8.725
K U Te
5 1 5
direct
0.321 0.642 0.146 K
0.000 0.000 0.500 K
0.697 0.394 0.317 K
0.679 0.358 0.854 K
0.303 0.606 0.683 K
0.000 0.000 0.000 U
0.858 0.716 0.706 Te
0.500 0.000 0.000 Te
0.867 0.734 0.153 Te
0.133 0.266 0.847 Te
0.142 0.284 0.294 Te

---

[6]
NaZr3C | Alexandria via LeMat-Bulk | GGA-PBE | optimized geometry; space group = Pm-3m (221); formation enthalpy at 0 K = 0.08 eV/atom; crystal system = cubic
1.0
4.659 0.000 0.000
0.000 4.659 0.000
0.000 0.000 4.659
C Zr Na
1 3 1
direct
0.000 0.000 0.000 C
0.000 0.000 0.500 Zr
0.500 0.000 0.000 Zr
0.000 0.500 0.000 Zr
0.500 0.500 0.500 Na

---

[7]
TlTcSb2 | Alexandria via LeMat-Bulk | GGA-PBE | optimized geometry; space group = Imm2 (44); energy relative to the elements, uncorrected = 0.128 eV per atom; crystal system = orthorhombic
1.0
-1.187 -9.225 0.372
3.406 -8.622 -0.838
-0.626 8.923 2.577
Sb Tl Tc
2 1 1
direct
0.975 0.975 0.000 Sb
0.664 0.164 0.500 Sb
0.314 0.814 0.500 Tl
0.547 0.547 0.000 Tc

---

[8]
Ga3Fe3Co2 | Alexandria via LeMat-Bulk | GGA-PBE | optimized geometry; space group = R3m (160); formation enthalpy at 0 K = -0.14 eV/atom; crystal system = trigonal
1.0
-1.751 -3.259 1.665
1.306 -1.400 3.577
-4.503 2.386 4.879
Co Ga Fe
2 3 3
direct
0.001 0.001 0.998 Co
0.500 0.500 0.501 Co
0.372 0.372 0.884 Ga
0.125 0.125 0.626 Ga
0.878 0.878 0.366 Ga
0.750 0.750 0.751 Fe
0.626 0.626 0.123 Fe
0.250 0.250 0.251 Fe